No. 1
The following is a GGA-PBE calculation of BaRe5 after structural relaxation, from the Alexandria database.

The calculation puts the density of states at the Fermi level at 4.9 states/eV per cell. The energy above the most stable polymorph in this dataset is 62 meV/atom. Its symmetry is Amm2. The total energy is -10.05 eV/atom.

a = 4.2636 Å, b = 9.8125 Å, c = 9.8125 Å
α = 16.96°, β = 90.00°, γ = 90.00°
Closest atoms and distances in Å follow each position.
Element x y z (fractional)
Ba1 0.0000 0.0000 0.0000  2 Ba 2.89
Re1 0.0000 0.3199 0.3199  10 Re 2.64-2.89
Re2 0.0000 0.6958 0.6958  10 Re 2.59-2.89
Re3 0.5000 0.2397 0.2397  12 Re 2.64-2.89
Re4 0.5000 0.6203 0.6203  6 Re 2.59-2.89
Re5 0.5000 0.8604 0.8604  8 Re 2.69-2.89

No. 2
The following is a GGA-PBE calculation of BaRe3 after structural relaxation, from the Alexandria database.

The calculation puts the density of states at the Fermi level at 9.4 states/eV per cell. The energy above the most stable polymorph in this dataset is 455 meV/atom. Its symmetry is I4/mmm. The total energy is -8.76 eV/atom.

a = 13.9376 Å, b = 13.9376 Å, c = 13.9376 Å
α = 164.11°, β = 164.11°, γ = 22.54°
Closest atoms and distances in Å follow each position.
Element x y z (fractional)
Ba1 0.1026 0.1026 0.0000  8 Re 3.40-3.66
Ba2 0.8974 0.8974 0.0000  8 Re 3.40-3.66
Re1 0.0000 0.5000 0.5000  4 Re 2.72
Re2 0.2500 0.7500 0.5000  8 Re 2.49-2.72
Re3 0.3079 0.3079 0.0000  4 Re 2.49
Re4 0.5000 0.0000 0.5000  4 Re 2.72
Re5 0.6921 0.6921 0.0000  4 Re 2.49
Re6 0.7500 0.2500 0.5000  8 Re 2.49-2.72